Density functional theory data (PBE-GGA) for a relaxed ThZr2In2 crystal.

Results
total energy	-6.16	eV/atom
space group	I4/mmm (139)

Geometry as extended XYZ:
```
5
Lattice="-2.186 2.186 6.842 2.186 -2.186 6.842 2.186 2.186 -6.842" Properties=species:S:1:pos:R:3 pbc="T T T"
Zr 0.000 2.186 3.421
In 0.000 0.000 8.223
Th 0.000 0.000 0.000
Zr 2.186 0.000 3.421
In 0.000 0.000 5.461
```

---

Density functional theory data (PBE-GGA) for a relaxed Tm2TlIn3 crystal.

Results
total energy	-3.61	eV/atom
space group	Cmmm (65)
excess energy over the best structure of this formula in the dataset	0.000	eV per atom

Geometry as extended XYZ:
```
6
Lattice="2.290 -7.072 0.000 2.290 7.072 0.000 0.000 0.000 4.653" Properties=species:S:1:pos:R:3 pbc="T T T"
Tl 0.000 0.000 0.000
In 2.290 0.000 2.326
In 2.290 -4.570 2.326
Tm 2.290 -2.210 0.000
In 2.290 4.570 2.326
Tm 2.290 2.210 0.000
```

---

Density functional theory data (PBE-GGA) for a relaxed Tm3TlIn2 crystal.

Results
total energy	-3.92	eV/atom
space group	P4/mmm (123)

Geometry as extended XYZ:
```
6
Lattice="3.599 0.000 0.000 0.000 3.599 0.000 0.000 0.000 11.957" Properties=species:S:1:pos:R:3 pbc="T T T"
Tm 1.800 1.800 3.948
In 0.000 0.000 1.984
Tl 0.000 0.000 5.979
Tm 1.800 1.800 8.009
Tm 1.800 1.800 0.000
In 0.000 0.000 9.974
```

---

Density functional theory data (PBE-GGA) for a relaxed Tm5TlIn3 crystal.

Results
total energy	-4.05	eV/atom
space group	P6_3/mcm (193)

Geometry as extended XYZ:
```
18
Lattice="9.175 0.000 0.000 -4.588 7.946 0.000 0.000 0.000 6.590" Properties=species:S:1:pos:R:3 pbc="T T T"
In -2.881 4.990 4.942
In 2.881 4.990 1.647
Tm 4.588 2.649 0.000
In 3.413 0.000 1.647
Tm 2.683 0.000 4.942
In -1.707 2.956 1.647
Tl 0.000 0.000 0.000
Tl 0.000 0.000 3.295
Tm 3.246 5.622 4.942
In 5.762 0.000 4.942
Tm 6.492 0.000 1.647
Tm 0.000 5.297 3.295
Tm -1.342 2.324 4.942
Tm 4.588 2.649 3.295
Tm -3.246 5.622 1.647
Tm 1.342 2.324 1.647
In 1.707 2.956 4.942
Tm 0.000 5.297 0.000
```

---

Density functional theory data (PBE-GGA) for a relaxed UTlIn crystal.

Results
total energy	-4.76	eV/atom
space group	F-43m (216)
excess energy over the best structure of this formula in the dataset	0.061	eV per atom

Geometry as extended XYZ:
```
3
Lattice="0.000 3.621 3.621 3.621 0.000 3.621 3.621 3.621 0.000" Properties=species:S:1:pos:R:3 pbc="T T T"
U 0.000 0.000 0.000
In 1.811 1.811 1.811
Tl 5.432 5.432 5.432
```

---

Density functional theory data (PBE-GGA) for a relaxed UTlIn crystal.

Results
total energy	-4.82	eV/atom
space group	F-43m (216)
excess energy over the best structure of this formula in the dataset	0.000	eV per atom

Geometry as extended XYZ:
```
3
Lattice="0.000 3.562 3.562 3.562 0.000 3.562 3.562 3.562 0.000" Properties=species:S:1:pos:R:3 pbc="T T T"
Tl 0.000 0.000 0.000
In 1.781 1.781 1.781
U 5.343 5.343 5.343
```